No. 1
LaCo2: optimized geometry, GGA-PBE.

Unit cell a=7.4055 b=7.4055 c=7.4055 alpha=147.77 beta=147.77 gamma=46.22
Last column: magnetic moment on the atom in μB.
Element x y z (fractional)
Co 0.4158 0.4158 0.0000  1.12
Co 0.5842 0.5842 0.0000  1.12
Co 0.1658 0.6658 0.5000  1.12
Co 0.3342 0.8342 0.5000  1.12
La 0.7500 0.2500 0.5000  -0.17
La 0.0000 0.0000 0.0000  -0.17

Summary:
total energy	-6.44	eV per atom
total magnetization	3.6	Bohr magnetons per cell
symmetry	I4_1/amd (141)
DFT formation energy	-0.057	eV/atom

***

No. 2
La2DySc: optimized geometry, GGA-PBE.

Unit cell a=4.8954 b=5.1245 c=5.1245 alpha=90.00 beta=90.00 gamma=90.00
Element x y z (fractional)
La 0.0000 0.5000 0.0000
La 0.0000 0.0000 0.5000
Dy 0.5000 0.5000 0.5000
Sc 0.5000 0.0000 0.0000

Summary:
total energy	-5.15	eV per atom
ΔE to the lowest computed polymorph	7	meV/atom
total magnetization	0.0	Bohr magnetons per cell
symmetry	P4/mmm (123)
DFT formation energy	0.049	eV/atom